# 1
{
  "formula": "NaZnAgO2",
  "functional": "GGA-PBE",
  "state": "relaxed",
  "lattice": [[-3.376, -0.855, 3.976], [3.967, -3.135, 2.694], [-0.057, 6.281, 1.301]],
  "species": ["Na", "Na", "Zn", "Zn", "Ag", "Ag", "O", "O", "O", "O"],
  "frac_coords": [[0.374, 0.750, 0.500], [0.626, 0.250, 0.500], [0.500, 0.750, 0.000], [0.500, 0.250, 0.000], [0.000, 0.000, 0.000], [0.000, 0.500, 0.000], [0.663, 0.899, 0.798], [0.663, 0.601, 0.202], [0.337, 0.399, 0.798], [0.337, 0.101, 0.202]],
  "crystal_system": "orthorhombic",
  "space_group": "No. 67",
  "formation_energy_uncorrected_ev_per_atom": -0.88
}

# 2
{
  "formula": "Na2ZrAgO4",
  "functional": "GGA-PBE",
  "state": "relaxed",
  "lattice": [[5.365, 0.158, 0.243], [-2.143, 4.921, -0.243], [-2.143, -2.203, 4.408]],
  "species": ["Na", "Na", "Zr", "Ag", "O", "O", "O", "O"],
  "frac_coords": [[0.500, 0.750, 0.250], [0.000, 0.000, 0.000], [0.500, 0.250, 0.750], [0.000, 0.500, 0.500], [0.515, 0.258, 0.384], [0.126, 0.257, 0.742], [0.874, 0.616, 0.131], [0.485, 0.869, 0.743]],
  "crystal_system": "tetragonal",
  "space_group": "No. 82",
  "formation_energy_uncorrected_ev_per_atom": -1.73
}

# 3
{
  "formula": "NaAg2Os",
  "functional": "GGA-PBE",
  "state": "relaxed",
  "lattice": [[4.097, 0.000, 0.000], [0.000, 4.097, 0.000], [2.049, 2.049, 9.462]],
  "species": ["Na", "Na", "Os", "Os", "Ag", "Ag", "Ag", "Ag"],
  "frac_coords": [[0.500, 0.500, 0.000], [0.250, 0.750, 0.500], [0.000, 0.000, 0.000], [0.750, 0.250, 0.500], [0.638, 0.125, 0.250], [0.112, 0.625, 0.250], [0.375, 0.362, 0.750], [0.875, 0.888, 0.750]],
  "formation_enthalpy_0k_mev_per_atom": 1218,
  "crystal_system": "tetragonal",
  "space_group": "No. 122"
}

# 4
{
  "formula": "Na2AgOs",
  "functional": "GGA-PBE",
  "state": "relaxed",
  "lattice": [[7.994, 0.000, 0.000], [0.000, 7.994, 0.000], [3.997, 3.997, 2.723]],
  "species": ["Na", "Na", "Na", "Na", "Os", "Os", "Ag", "Ag"],
  "frac_coords": [[0.615, 0.125, 0.250], [0.135, 0.625, 0.250], [0.375, 0.385, 0.750], [0.875, 0.865, 0.750], [0.000, 0.000, 0.000], [0.750, 0.250, 0.500], [0.500, 0.500, 0.000], [0.250, 0.750, 0.500]],
  "formation_enthalpy_0k_mev_per_atom": 1191,
  "crystal_system": "tetragonal",
  "space_group": "No. 122"
}

# 5
{
  "formula": "NaAg2Os",
  "functional": "GGA-PBE",
  "state": "relaxed",
  "lattice": [[0.000, 3.292, 3.292], [3.292, 0.000, 3.292], [3.292, 3.292, 0.000]],
  "species": ["Na", "Os", "Ag", "Ag"],
  "frac_coords": [[0.000, 0.000, 0.000], [0.500, 0.500, 0.500], [0.250, 0.250, 0.250], [0.750, 0.750, 0.750]],
  "formation_enthalpy_0k_mev_per_atom": 861,
  "crystal_system": "cubic",
  "space_group": "No. 225"
}

# 6
{
  "formula": "Na2AgOs",
  "functional": "GGA-PBE",
  "state": "relaxed",
  "lattice": [[0.000, 3.420, 3.420], [3.420, 0.000, 3.420], [3.420, 3.420, 0.000]],
  "species": ["Na", "Na", "Os", "Ag"],
  "frac_coords": [[0.250, 0.250, 0.250], [0.750, 0.750, 0.750], [0.500, 0.500, 0.500], [0.000, 0.000, 0.000]],
  "formation_enthalpy_0k_mev_per_atom": 1185,
  "crystal_system": "cubic",
  "space_group": "No. 225"
}

# 7
{
  "formula": "NaAgPOs",
  "functional": "GGA-PBE",
  "state": "relaxed",
  "lattice": [[-3.381, -2.017, 0.012], [1.652, -2.783, -2.241], [3.093, -5.135, 8.658]],
  "species": ["Na", "Na", "Ag", "Ag", "P", "P", "Os", "Os"],
  "frac_coords": [[0.750, 0.750, 0.255], [0.250, 0.250, 0.745], [0.250, 0.750, 0.500], [0.750, 0.250, 0.500], [0.750, 0.750, 0.876], [0.250, 0.250, 0.124], [0.750, 0.250, 0.000], [0.250, 0.750, 0.000]],
  "formation_enthalpy_0k_mev_per_atom": -167,
  "crystal_system": "tetragonal",
  "space_group": "No. 129"
}

# 8
{
  "formula": "NaAg2OsPb",
  "functional": "GGA-PBE",
  "state": "relaxed",
  "lattice": [[-3.228, 3.095, 2.795], [-3.340, 0.562, -4.480], [-2.749, -4.237, 1.518]],
  "species": ["Pb", "Na", "Os", "Ag", "Ag"],
  "frac_coords": [[0.000, 0.000, 0.000], [0.000, 0.500, 0.000], [0.500, 0.500, 0.500], [0.000, 0.000, 0.500], [0.500, 0.000, 0.000]],
  "formation_enthalpy_0k_mev_per_atom": 1734,
  "crystal_system": "tetragonal",
  "space_group": "No. 123"
}

# 9
{
  "formula": "NaAg2OsPt",
  "functional": "GGA-PBE",
  "state": "relaxed",
  "lattice": [[-2.062, -2.296, 3.308], [0.732, -4.056, -2.359], [3.966, -0.514, 2.116]],
  "species": ["Na", "Os", "Ag", "Ag", "Pt"],
  "frac_coords": [[0.000, 0.000, 0.000], [0.500, 0.500, 0.500], [0.000, 0.000, 0.500], [0.500, 0.000, 0.000], [0.000, 0.500, 0.000]],
  "formation_enthalpy_0k_mev_per_atom": 1734,
  "crystal_system": "tetragonal",
  "space_group": "No. 123"
}

# 10
{
  "formula": "NaAgSbOs2",
  "functional": "GGA-PBE",
  "state": "relaxed",
  "lattice": [[4.927, 0.000, 0.000], [0.000, 5.254, 0.000], [0.000, 0.000, 4.927]],
  "species": ["Sb", "Os", "Os", "Ag", "Na"],
  "frac_coords": [[0.000, 0.000, 0.000], [0.000, 0.000, 0.500], [0.500, 0.000, 0.000], [0.000, 0.500, 0.000], [0.500, 0.500, 0.500]],
  "crystal_system": "tetragonal",
  "space_group": "No. 123",
  "formation_energy_uncorrected_ev_per_atom": 1.56
}

# 11
{
  "formula": "Na2AgOsSe",
  "functional": "GGA-PBE",
  "state": "relaxed",
  "lattice": [[-5.063, -2.193, 0.528], [0.136, -1.492, -4.889], [2.251, -4.827, 1.536]],
  "species": ["Na", "Na", "Os", "Se", "Ag"],
  "frac_coords": [[0.000, 0.000, 0.500], [0.500, 0.000, 0.000], [0.000, 0.000, 0.000], [0.500, 0.500, 0.500], [0.000, 0.500, 0.000]],
  "crystal_system": "tetragonal",
  "space_group": "No. 123",
  "formation_energy_uncorrected_ev_per_atom": 1.17
}

# 12
{
  "formula": "Na2YAgOs",
  "functional": "GGA-PBE",
  "state": "relaxed",
  "lattice": [[4.848, 0.000, 0.000], [0.000, 4.848, 0.000], [0.000, 0.000, 5.788]],
  "species": ["Y", "Na", "Na", "Os", "Ag"],
  "frac_coords": [[0.000, 0.000, 0.500], [0.000, 0.500, 0.000], [0.500, 0.000, 0.000], [0.500, 0.500, 0.500], [0.000, 0.000, 0.000]],
  "formation_enthalpy_0k_mev_per_atom": 1176,
  "crystal_system": "tetragonal",
  "space_group": "No. 123"
}

# 13
{
  "formula": "Na2AgP2",
  "functional": "GGA-PBE",
  "state": "relaxed",
  "lattice": [[-1.288, -6.033, 2.474], [3.867, -2.737, -4.662], [3.560, 0.363, 2.739]],
  "species": ["P", "P", "P", "P", "Ag", "Ag", "Na", "Na", "Na", "Na"],
  "frac_coords": [[0.385, 0.885, 0.000], [0.885, 0.615, 0.000], [0.615, 0.115, 0.000], [0.115, 0.385, 0.000], [0.000, 0.000, 0.000], [0.500, 0.500, 0.000], [0.179, 0.679, 0.500], [0.679, 0.821, 0.500], [0.821, 0.321, 0.500], [0.321, 0.179, 0.500]],
  "formation_enthalpy_0k_mev_per_atom": -265,
  "crystal_system": "tetragonal",
  "space_group": "No. 127"
}

# 14
{
  "formula": "NaAgP",
  "functional": "GGA-PBE",
  "state": "relaxed",
  "lattice": [[4.241, 0.000, 0.000], [0.000, 6.929, 0.000], [0.000, 0.000, 12.044]],
  "species": ["Na", "Na", "Na", "Na", "Na", "Na", "Ag", "Ag", "Ag", "Ag", "Ag", "Ag", "P", "P", "P", "P", "P", "P"],
  "frac_coords": [[0.000, 0.247, 0.957], [0.000, 0.753, 0.043], [0.000, 0.247, 0.543], [0.000, 0.753, 0.457], [0.000, 0.125, 0.250], [0.000, 0.875, 0.750], [0.500, 0.411, 0.128], [0.500, 0.589, 0.872], [0.500, 0.411, 0.372], [0.500, 0.589, 0.628], [0.500, 0.792, 0.250], [0.500, 0.208, 0.750], [0.500, 0.052, 0.085], [0.500, 0.948, 0.915], [0.500, 0.052, 0.415], [0.500, 0.948, 0.585], [0.000, 0.547, 0.250], [0.000, 0.453, 0.750]],
  "formation_enthalpy_0k_mev_per_atom": -146,
  "crystal_system": "orthorhombic",
  "space_group": "No. 51"
}

# 15
{
  "formula": "NaAg2P2",
  "functional": "GGA-PBE",
  "state": "relaxed",
  "lattice": [[-2.052, 2.654, -2.744], [-3.712, -0.661, 2.136], [-1.834, 4.958, 2.745]],
  "species": ["P", "P", "Ag", "Ag", "Na"],
  "frac_coords": [[0.394, 0.394, 0.212], [0.606, 0.606, 0.788], [0.750, 0.250, 0.500], [0.250, 0.750, 0.500], [0.000, 0.000, 0.000]],
  "formation_enthalpy_0k_mev_per_atom": -124,
  "crystal_system": "tetragonal",
  "space_group": "No. 139"
}

# 16
{
  "formula": "NaAgP",
  "functional": "GGA-PBE",
  "state": "relaxed",
  "lattice": [[-1.356, -3.913, 0.301], [1.235, -2.387, 3.165], [-7.565, 3.024, 5.233]],
  "species": ["Na", "Na", "Ag", "Ag", "P", "P"],
  "frac_coords": [[0.155, 0.561, 0.992], [0.155, 0.561, 0.586], [0.822, 0.227, 0.789], [0.488, 0.894, 0.289], [0.821, 0.228, 0.178], [0.821, 0.228, 0.400]],
  "formation_enthalpy_0k_mev_per_atom": 39,
  "crystal_system": "hexagonal",
  "space_group": "No. 187"
}

# 17
{
  "formula": "Na2AgP",
  "functional": "GGA-PBE",
  "state": "relaxed",
  "lattice": [[10.937, 0.000, 0.000], [0.000, 10.937, 0.000], [5.469, 5.469, 2.365]],
  "species": ["P", "P", "Ag", "Ag", "Na", "Na", "Na", "Na"],
  "frac_coords": [[0.500, 0.500, 0.000], [0.250, 0.750, 0.500], [0.000, 0.000, 0.000], [0.750, 0.250, 0.500], [0.376, 0.125, 0.250], [0.374, 0.625, 0.250], [0.375, 0.624, 0.750], [0.875, 0.626, 0.750]],
  "formation_enthalpy_0k_mev_per_atom": -164,
  "crystal_system": "tetragonal",
  "space_group": "No. 122"
}

# 18
{
  "formula": "Na3AgP",
  "functional": "GGA-PBE",
  "state": "relaxed",
  "lattice": [[-5.282, -0.543, -0.907], [0.991, -4.150, -3.288], [-0.367, -3.391, 4.170]],
  "species": ["P", "Ag", "Na", "Na", "Na"],
  "frac_coords": [[0.500, 0.500, 0.500], [0.000, 0.000, 0.000], [0.000, 0.500, 0.000], [0.000, 0.000, 0.500], [0.500, 0.000, 0.000]],
  "formation_enthalpy_0k_mev_per_atom": 399,
  "crystal_system": "cubic",
  "space_group": "No. 221"
}

# 19
{
  "formula": "NaAg2P2",
  "functional": "GGA-PBE",
  "state": "relaxed",
  "lattice": [[7.949, 0.000, 0.000], [0.000, 7.949, 0.000], [0.000, 0.000, 2.922]],
  "species": ["P", "P", "P", "P", "Ag", "Ag", "Ag", "Ag", "Na", "Na"],
  "frac_coords": [[0.341, 0.841, 0.000], [0.841, 0.659, 0.000], [0.659, 0.159, 0.000], [0.159, 0.341, 0.000], [0.141, 0.641, 0.500], [0.641, 0.859, 0.500], [0.859, 0.359, 0.500], [0.359, 0.141, 0.500], [0.000, 0.000, 0.000], [0.500, 0.500, 0.000]],
  "formation_enthalpy_0k_mev_per_atom": 148,
  "crystal_system": "tetragonal",
  "space_group": "No. 127"
}

# 20
{
  "formula": "Na5AgP2",
  "functional": "GGA-PBE",
  "state": "relaxed",
  "lattice": [[-4.723, -0.693, 1.598], [3.312, -3.785, 0.217], [4.708, 5.042, 16.099]],
  "species": ["Na", "Na", "Na", "Na", "Na", "Na", "Na", "Na", "Na", "Na", "Ag", "Ag", "P", "P", "P", "P"],
  "frac_coords": [[0.000, 0.000, 0.367], [0.000, 0.000, 0.133], [0.667, 0.333, 0.250], [0.000, 0.000, 0.867], [0.667, 0.333, 0.051], [0.333, 0.667, 0.750], [0.333, 0.667, 0.949], [0.333, 0.667, 0.551], [0.667, 0.333, 0.449], [0.000, 0.000, 0.633], [0.333, 0.667, 0.250], [0.667, 0.333, 0.750], [0.667, 0.333, 0.613], [0.333, 0.667, 0.113], [0.333, 0.667, 0.387], [0.667, 0.333, 0.887]],
  "formation_enthalpy_0k_mev_per_atom": -322,
  "crystal_system": "hexagonal",
  "space_group": "No. 194"
}

# 21
{
  "formula": "NaAg2P",
  "functional": "GGA-PBE",
  "state": "relaxed",
  "lattice": [[-1.835, 1.996, 4.577], [-2.860, -4.417, 0.779], [3.680, -4.439, 6.503]],
  "species": ["P", "P", "Ag", "Ag", "Ag", "Ag", "Na", "Na"],
  "frac_coords": [[0.000, 0.000, 0.000], [0.750, 0.250, 0.500], [0.801, 0.125, 0.250], [0.949, 0.625, 0.250], [0.375, 0.199, 0.750], [0.875, 0.051, 0.750], [0.500, 0.500, 0.000], [0.250, 0.750, 0.500]],
  "formation_enthalpy_0k_mev_per_atom": 31,
  "crystal_system": "tetragonal",
  "space_group": "No. 122"
}

# 22
{
  "formula": "Na3AgP",
  "functional": "GGA-PBE",
  "state": "relaxed",
  "lattice": [[5.393, 0.000, 0.000], [0.000, 5.393, 0.000], [0.000, 0.000, 5.393]],
  "species": ["P", "Ag", "Na", "Na", "Na"],
  "frac_coords": [[0.000, 0.000, 0.000], [0.500, 0.500, 0.500], [0.000, 0.500, 0.000], [0.000, 0.000, 0.500], [0.500, 0.000, 0.000]],
  "formation_enthalpy_0k_mev_per_atom": 83,
  "crystal_system": "cubic",
  "space_group": "No. 221"
}

# 23
{
  "formula": "Na5Ag3P3",
  "functional": "GGA-PBE",
  "state": "relaxed",
  "lattice": [[4.638, 0.000, 0.000], [0.000, 7.667, -4.426], [0.000, 0.000, 8.853]],
  "species": ["Na", "Na", "Na", "Na", "Na", "Ag", "Ag", "Ag", "P", "P", "P"],
  "frac_coords": [[0.500, 0.333, 0.667], [0.500, 0.667, 0.333], [0.500, 0.265, 0.265], [0.500, 0.000, 0.735], [0.500, 0.735, 0.000], [0.000, 0.673, 0.673], [0.000, 0.327, 0.000], [0.000, 0.000, 0.327], [0.500, 0.629, 0.629], [0.500, 0.000, 0.371], [0.500, 0.371, 0.000]],
  "formation_enthalpy_0k_mev_per_atom": -158,
  "crystal_system": "hexagonal",
  "space_group": "No. 189"
}

# 24
{
  "formula": "NaAg2P2",
  "functional": "GGA-PBE",
  "state": "relaxed",
  "lattice": [[-3.327, 0.228, 3.397], [3.276, -1.079, 3.281], [0.889, 4.140, 3.927]],
  "species": ["P", "P", "Ag", "Ag", "Na"],
  "frac_coords": [[0.750, 0.250, 0.500], [0.250, 0.750, 0.500], [0.344, 0.344, 0.313], [0.656, 0.656, 0.687], [0.000, 0.000, 0.000]],
  "formation_enthalpy_0k_mev_per_atom": 153,
  "crystal_system": "tetragonal",
  "space_group": "No. 139"
}

# 25
{
  "formula": "NaAgP",
  "functional": "GGA-PBE",
  "state": "relaxed",
  "lattice": [[5.296, 0.025, -0.043], [-2.276, 4.782, 0.043], [-2.378, -1.858, 5.264]],
  "species": ["Na", "Na", "Ag", "Ag", "P", "P"],
  "frac_coords": [[0.235, 0.626, 0.861], [0.765, 0.374, 0.139], [0.000, 0.000, 0.500], [0.500, 0.500, 0.500], [0.181, 0.003, 0.184], [0.819, 0.997, 0.816]],
  "formation_enthalpy_0k_mev_per_atom": -168,
  "crystal_system": "monoclinic",
  "space_group": "No. 12"
}